No. 1
PmSmErHg | PBE | optimized geometry

Results
Energy above the most stable polymorph in this dataset: 0 meV/atom
Symmetry: P4mm, No. 99
Calculated formation energy: -0.229 eV/atom
Magnetic moment: 0.00 μB per formula unit

Unit cell a=3.6594 b=3.6594 c=8.9070 alpha=90.00 beta=90.00 gamma=90.00
Sites, in units of the cell vectors:
Pm: 0.0000 0.0000 0.0000
Sm: 0.5000 0.5000 0.7147
Er: 0.5000 0.5000 0.2775
Hg: 0.0000 0.0000 0.4822

=====

No. 2
InTe2W | PBE | optimized geometry

Results
Symmetry: F-43m, No. 216
E_form (uncorrected): 99 kJ/mol of atoms
Magnetic moment: 0.00 μB per formula unit

Unit cell a=5.0449 b=5.0449 c=5.0449 alpha=60.00 beta=60.00 gamma=60.00
Sites, in units of the cell vectors:
In: 0.0000 0.0000 0.0000
Te: 0.5000 0.5000 0.5000
Te: 0.7500 0.7500 0.7500
W: 0.2500 0.2500 0.2500

=====

No. 3
PaZn4Fe | PBE | optimized geometry

Results
Energy above the most stable polymorph in this dataset: 229 meV/atom
Symmetry: F-43m, No. 216
Calculated formation energy: 0.102 eV/atom
Magnetic moment: 1.43 μB per formula unit

Unit cell a=5.1910 b=5.1910 c=5.1910 alpha=60.00 beta=60.00 gamma=60.00
Sites, in units of the cell vectors:
Pa: 0.0000 0.0000 0.0000
Zn: 0.1283 0.6239 0.6239
Zn: 0.6239 0.1283 0.6239
Zn: 0.6239 0.6239 0.1283
Zn: 0.6239 0.6239 0.6239
Fe: 0.2500 0.2500 0.2500

=====

No. 4
Cs3SmPa2O9 | PBE | optimized geometry

Results
Symmetry: P-3m1, No. 164
E_form (uncorrected): -258 kJ/mol of atoms
Magnetic moment: 2.07 μB per formula unit

Unit cell a=6.3876 b=6.3876 c=7.8007 alpha=90.00 beta=90.00 gamma=120.00
Sites, in units of the cell vectors:
Cs: 0.0000 0.0000 0.0000
Cs: 0.3333 0.6667 0.6639
Cs: 0.6667 0.3333 0.3361
Sm: 0.0000 0.0000 0.5000
Pa: 0.3333 0.6667 0.1662
Pa: 0.6667 0.3333 0.8338
O: 0.0000 0.5000 0.0000
O: 0.1753 0.3507 0.3228
O: 0.1753 0.8247 0.3228
O: 0.3507 0.1753 0.6772
O: 0.5000 0.0000 0.0000
O: 0.5000 0.5000 0.0000
O: 0.6493 0.8247 0.3228
O: 0.8247 0.1753 0.6772
O: 0.8247 0.6493 0.6772

=====

No. 5
Re2SeBr | PBE | optimized geometry

Results
Energy above the most stable polymorph in this dataset: 392 meV/atom
Symmetry: Imm2, No. 44
E_form (uncorrected): 56 kJ/mol of atoms
Magnetic moment: 0.00 μB per formula unit

Unit cell a=9.1772 b=9.1772 c=9.1772 alpha=161.10 beta=160.86 gamma=27.03
Sites, in units of the cell vectors:
Re: 0.0000 0.0000 0.0000
Re: 0.8853 0.3853 0.5000
Se: 0.3016 0.8016 0.5000
Br: 0.5986 0.5986 0.0000

=====

No. 6
Pm3Si6NiRh2 | PBE | optimized geometry

Results
Symmetry: P-3m1, No. 164
E_form (uncorrected): -45 kJ/mol of atoms
Magnetic moment: 0.00 μB per formula unit

Unit cell a=5.3776 b=5.3776 c=9.0755 alpha=90.00 beta=90.00 gamma=120.00
Sites, in units of the cell vectors:
Pm: 0.0000 0.0000 0.0000
Pm: 0.3333 0.6667 0.5817
Pm: 0.6667 0.3333 0.4183
Si: 0.1639 0.3279 0.2841
Si: 0.1639 0.8361 0.2841
Si: 0.3279 0.1639 0.7159
Si: 0.6721 0.8361 0.2841
Si: 0.8361 0.1639 0.7159
Si: 0.8361 0.6721 0.7159
Ni: 0.0000 0.0000 0.5000
Rh: 0.3333 0.6667 0.0862
Rh: 0.6667 0.3333 0.9138

=====

No. 7
Mn2TlOsRu | PBE | optimized geometry

Results
Symmetry: P4/mmm, No. 123
Calculated formation energy: 1.255 eV/atom
Magnetic moment: 7.76 μB per formula unit

Unit cell a=4.8619 b=4.8619 c=4.6204 alpha=90.00 beta=90.00 gamma=90.00
Sites, in units of the cell vectors:
Mn: 0.0000 0.5000 0.0000
Mn: 0.5000 0.0000 0.0000
Tl: 0.0000 0.0000 0.5000
Os: 0.5000 0.5000 0.5000
Ru: 0.5000 0.5000 0.0000

=====

No. 8
Tl3CuSb2S6 | PBE | optimized geometry

Results
Symmetry: C2/m, No. 12
E_form (uncorrected): -20 kJ/mol of atoms
Magnetic moment: 0.00 μB per formula unit

Unit cell a=6.7522 b=6.7522 c=7.5779 alpha=99.78 beta=99.78 gamma=118.33
Sites, in units of the cell vectors:
Tl: 0.0000 0.0000 0.0000
Tl: 0.3279 0.6721 0.0000
Tl: 0.6721 0.3279 0.0000
Cu: 0.5000 0.5000 0.5000
Sb: 0.1654 0.8346 0.5000
Sb: 0.8346 0.1654 0.5000
S: 0.1280 0.4337 0.3096
S: 0.2407 0.2407 0.7225
S: 0.4337 0.1280 0.3096
S: 0.5663 0.8720 0.6904
S: 0.7593 0.7593 0.2775
S: 0.8720 0.5663 0.6904